Rb4HgAu | the Alexandria database | PBE | optimized geometry; polymorph energy (0 for the lowest one) = 0 meV per atom; E_tot = -1.406 eV/atom; symmetry = Pnma (62); calculated formation energy = -0.16 eV per atom
1.0
9.894 0.000 0.000
0.000 5.223 0.000
0.000 0.000 23.182
Rb Hg Au
16 4 4
direct
0.007 0.250 0.068
0.035 0.250 0.779
0.137 0.250 0.354
0.137 0.250 0.554
0.363 0.750 0.054
0.363 0.750 0.854
0.465 0.750 0.279
0.493 0.750 0.568
0.507 0.250 0.432
0.535 0.250 0.721
0.637 0.250 0.146
0.637 0.250 0.946
0.863 0.750 0.446
0.863 0.750 0.646
0.965 0.750 0.221
0.993 0.750 0.932
0.240 0.750 0.688
0.260 0.250 0.188
0.740 0.750 0.812
0.760 0.250 0.312
0.249 0.250 0.951
0.251 0.750 0.451
0.749 0.250 0.549
0.751 0.750 0.049

---

Pr3HoTh4S8 | the Alexandria database | PBE | optimized geometry; energy relative to the elements, uncorrected = -1.912 eV/atom; E_tot = -7.013 eV/atom; symmetry = R-3m (166)
1.0
4.011 2.316 6.717
-4.011 2.316 6.717
0.000 -4.631 6.717
Pr Ho Th S
3 1 4 8
direct
0.000 0.500 0.500
0.500 0.000 0.500
0.500 0.500 0.000
0.000 0.000 0.000
0.000 0.000 0.500
0.000 0.500 0.000
0.500 0.000 0.000
0.500 0.500 0.500
0.242 0.756 0.756
0.244 0.244 0.758
0.244 0.758 0.244
0.249 0.249 0.249
0.751 0.751 0.751
0.756 0.242 0.756
0.756 0.756 0.242
0.758 0.244 0.244

---

LiSmDy2 | the Alexandria database | PBE | optimized geometry; polymorph energy (0 for the lowest one) = 34 meV per atom; E_tot = -3.850 eV/atom; symmetry = R3m (160); calculated formation energy = 0.11 eV per atom
1.0
1.763 1.018 11.228
-1.763 1.018 11.228
0.000 -2.036 11.228
Li Sm Dy
1 1 2
direct
0.000 0.000 0.000
0.167 0.167 0.167
0.414 0.414 0.414
0.586 0.586 0.586

---

VTeSI2 | the Alexandria database | PBE | optimized geometry; polymorph energy (0 for the lowest one) = 305 meV per atom; energy relative to the elements, uncorrected = 0.805 eV/atom; E_tot = -3.092 eV/atom; symmetry = P4/mmm (123)
1.0
5.445 0.000 0.000
0.000 5.445 0.000
0.000 0.000 5.437
V Te S I
1 1 1 2
direct
0.000 0.000 0.000
0.500 0.500 0.000
0.500 0.500 0.500
0.000 0.500 0.500
0.500 0.000 0.500

---

Pm2Pr7Sm2 | the Alexandria database | PBE | optimized geometry; polymorph energy (0 for the lowest one) = 0 meV per atom; E_tot = -4.663 eV/atom; symmetry = C2/m (12); calculated formation energy = 0.10 eV per atom
1.0
4.627 -4.885 0.000
4.627 4.885 0.000
-1.764 0.000 8.789
Pm Pr Sm
2 7 2
direct
0.176 0.824 0.000
0.824 0.176 0.000
0.047 0.415 0.703
0.348 0.348 0.087
0.415 0.047 0.703
0.500 0.500 0.500
0.585 0.953 0.297
0.652 0.652 0.913
0.953 0.585 0.297
0.111 0.111 0.355
0.889 0.889 0.645

---

Ti6VPb | the Alexandria database | PBE | optimized geometry; polymorph energy (0 for the lowest one) = 0 meV per atom; E_tot = -7.461 eV/atom; symmetry = Amm2 (38); calculated formation energy = 0.06 eV per atom
1.0
4.616 0.000 0.000
0.000 3.126 4.904
0.000 -3.126 4.904
Ti V Pb
6 1 1
direct
0.000 0.000 0.000
0.000 0.518 0.969
0.000 0.969 0.518
0.500 0.277 0.277
0.500 0.278 0.803
0.500 0.803 0.278
0.500 0.810 0.810
0.000 0.481 0.481

---

LiNd2V | the Alexandria database | PBE | optimized geometry; E_tot = -4.472 eV/atom; symmetry = R-3m (166); calculated formation energy = 0.67 eV per atom
1.0
1.651 0.953 11.528
-1.651 0.953 11.528
0.000 -1.906 11.528
Li Nd V
1 2 1
direct
0.000 0.000 0.000
0.419 0.419 0.419
0.581 0.581 0.581
0.500 0.500 0.500

---

TbNd2Hg | the Alexandria database | PBE | optimized geometry; polymorph energy (0 for the lowest one) = 91 meV per atom; E_tot = -3.755 eV/atom; symmetry = R-3m (166); calculated formation energy = -0.14 eV per atom
1.0
1.842 1.063 10.891
-1.842 1.063 10.891
0.000 -2.126 10.891
Tb Nd Hg
1 2 1
direct
0.000 0.000 0.000
0.244 0.244 0.244
0.756 0.756 0.756
0.500 0.500 0.500